! Fe3PtO | Alexandria | GGA+U | optimized geometry; values from VASP
! - symmetry = Pm-3m, No. 221
! - total moment (μB/atom) = 2.347
! - excess energy over the best structure of this formula in the dataset (meV per atom) = 0.0
! - DOS at the Fermi energy (states/eV/cell) = 1.540
! - final energy (eV per cell) = -28.93
&SYSTEM
  ibrav = 0, nat = 5, ntyp = 3
/
ATOMIC_SPECIES
O 16.00 O.upf
Fe 55.84 Fe.upf
Pt 195.08 Pt.upf
CELL_PARAMETERS angstrom
-3.740 1.806 0.388
-1.828 -3.745 -0.185
0.268 -0.336 4.149
ATOMIC_POSITIONS angstrom
O 0.000 0.000 0.000
Fe -0.914 -1.873 -0.093
Fe 0.134 -0.168 2.075
Fe -1.870 0.903 0.194
Pt -2.650 -1.138 2.176